[1]
Entry from the Alexandria database: an optimized crystal structure of LiPa2NbN4 (PBE).

Cell: 5.4788 3.4255 6.0103 Å, 90.00 111.31 90.00°
Closest atoms and distances in Å follow each position.
Element x y z (fractional)
Li1 0.0000 0.0000 0.0000  6 N 2.34-2.40
Pa1 0.5000 0.0000 0.5000  6 N 2.32-2.40
Pa2 0.5000 0.5000 0.0000  6 N 2.38
Nb1 0.0000 0.5000 0.5000  6 N 2.34-2.36
N1 0.2417 0.0000 0.7491  1 Li 2.34, 2 Nb 2.34, 3 Pa 2.38-2.40
N2 0.2592 0.5000 0.2601  3 Pa 2.32-2.38, 1 Nb 2.36, 2 Li 2.40
N3 0.7408 0.5000 0.7399  3 Pa 2.32-2.38, 1 Nb 2.36, 2 Li 2.40
N4 0.7583 0.0000 0.2509  1 Li 2.34, 2 Nb 2.34, 3 Pa 2.38-2.40

Results
DOS at the Fermi energy (states/eV/atom): 0.63
Total DFT energy (no corrections) (eV/cell): -74.17
Calculated density (g/cm³): 9.8

---

[2]
Entry from the Alexandria database: an optimized crystal structure of MnSb (PBE).

Cell: 6.4289 6.4289 6.4289 Å, 35.13 35.13 35.13°
Closest atoms and distances in Å follow each position.
Element x y z (fractional)
Mn1 0.1595 0.1595 0.1595  3 Mn 2.26
Mn2 0.8405 0.8405 0.8405  3 Mn 2.26
Sb1 0.4083 0.4083 0.4083  6 Mn 2.71-2.87
Sb2 0.5917 0.5917 0.5917  6 Mn 2.71-2.87

Results
DOS at the Fermi energy (states/eV/atom): 1.20
Total DFT energy (no corrections) (eV/cell): -25.95
Calculated density (g/cm³): 7.5

---

[3]
Entry from the Alexandria database: an optimized crystal structure of RbZn2B2 (PBE).

Cell: 7.8682 7.8682 2.6940 Å, 90.00 90.00 90.00°
Closest atoms and distances in Å follow each position.
Element x y z (fractional)
Rb1 0.0000 0.0000 0.0000  2 Rb 2.69
Rb2 0.5000 0.5000 0.0000  2 Rb 2.69
Zn1 0.1193 0.3807 0.0000  4 B 2.37
Zn2 0.3807 0.8807 0.0000  4 B 2.37
Zn3 0.6193 0.1193 0.0000  4 B 2.37
Zn4 0.8807 0.6193 0.0000  4 B 2.37
B1 0.1282 0.6282 0.5000  4 Zn 2.37
B2 0.3718 0.1282 0.5000  4 Zn 2.37
B3 0.6282 0.8718 0.5000  4 Zn 2.37
B4 0.8718 0.3718 0.5000  4 Zn 2.37

Results
DOS at the Fermi energy (states/eV/atom): 0.40
Formation energy from the elements (kJ/mol of atoms): 114.7
Total DFT energy (no corrections) (eV/cell): -21.86
Calculated density (g/cm³): 4.7

---

[4]
Entry from the Alexandria database: an optimized crystal structure of Rb2HgPb2 (PBE).

Cell: 10.8577 10.8577 3.8224 Å, 90.00 90.00 90.00°
Closest atoms and distances in Å follow each position.
Element x y z (fractional)
Rb1 0.1999 0.3001 0.0000  6 Pb 3.68-3.90, 2 Rb 3.82
Rb2 0.3001 0.8001 0.0000  6 Pb 3.68-3.90, 2 Rb 3.82
Rb3 0.6999 0.1999 0.0000  6 Pb 3.68-3.90, 2 Rb 3.82
Rb4 0.8001 0.6999 0.0000  6 Pb 3.68-3.90, 2 Rb 3.82
Hg1 0.0000 0.0000 0.5000  2 Hg 3.82
Hg2 0.5000 0.5000 0.5000  2 Hg 3.82
Pb1 0.0952 0.5952 0.5000  1 Pb 2.92
Pb2 0.4048 0.0952 0.5000  1 Pb 2.92
Pb3 0.5952 0.9048 0.5000  1 Pb 2.92
Pb4 0.9048 0.4048 0.5000  1 Pb 2.92

Results
DOS at the Fermi energy (states/eV/atom): 0.71
Formation energy from the elements (kJ/mol of atoms): -1.8
Total DFT energy (no corrections) (eV/cell): -19.50
Calculated density (g/cm³): 5.8

---

[5]
Entry from the Alexandria database: an optimized crystal structure of Pu5Ga4Pb (PBE).

Cell: 3.9452 3.9452 14.8965 Å, 90.00 90.00 90.00°
Closest atoms and distances in Å follow each position.
Element x y z (fractional)
Pu1 0.0000 0.0000 0.0000  2 Pu 2.86, 8 Ga 3.13
Pu2 0.0000 0.0000 0.1920  2 Pu 2.86-2.88, 8 Ga 3.12-3.14
Pu3 0.0000 0.0000 0.3852  1 Pu 2.88, 4 Ga 3.16
Pu4 0.0000 0.0000 0.6148  1 Pu 2.88, 4 Ga 3.16
Pu5 0.0000 0.0000 0.8080  2 Pu 2.86-2.88, 8 Ga 3.12-3.14
Ga1 0.5000 0.5000 0.0951  2 Ga 2.83-2.85, 8 Pu 3.13-3.14
Ga2 0.5000 0.5000 0.2861  1 Ga 2.85, 8 Pu 3.12-3.16, 1 Pb 3.19
Ga3 0.5000 0.5000 0.7139  1 Ga 2.85, 8 Pu 3.12-3.16, 1 Pb 3.19
Ga4 0.5000 0.5000 0.9049  2 Ga 2.83-2.85, 8 Pu 3.13-3.14
Pb1 0.5000 0.5000 0.5000  2 Ga 3.19, 8 Pu 3.27

Results
DOS at the Fermi energy (states/eV/atom): 3.54
Formation energy from the elements (kJ/mol of atoms): -21.3
Total DFT energy (no corrections) (eV/cell): -89.68
Calculated density (g/cm³): 12.2

---

[6]
Entry from the Alexandria database: an optimized crystal structure of HfPd2O (PBE).

Cell: 6.1154 6.1154 6.1154 Å, 124.13 124.13 82.98°
Closest atoms and distances in Å follow each position.
Element x y z (fractional)
Hf1 0.0000 0.0000 0.0000  4 Pd 2.55
Hf2 0.7500 0.2500 0.5000  4 Pd 2.55
Pd1 0.1843 0.6250 0.0593  2 O 2.13
Pd2 0.3750 0.4343 0.5593  2 O 2.13
Pd3 0.5657 0.1250 0.9407  2 O 2.13
Pd4 0.8750 0.8157 0.4407  2 O 2.13
O1 0.2500 0.7500 0.5000  4 Pd 2.13
O2 0.5000 0.5000 0.0000  4 Pd 2.13

Results
DOS at the Fermi energy (states/eV/atom): 0.34
Total DFT energy (no corrections) (eV/cell): -51.64
Calculated density (g/cm³): 9.0

---

[7]
Entry from the Alexandria database: an optimized crystal structure of PmPr4Se5 (PBE).

Cell: 11.2702 11.2702 11.2702 Å, 158.26 149.10 38.10°
Closest atoms and distances in Å follow each position.
Element x y z (fractional)
Pm1 0.0000 0.0000 0.0000  6 Se 2.98-3.00
Pr1 0.1991 0.1991 0.0000  6 Se 3.00-3.03
Pr2 0.3998 0.3998 0.0000  6 Se 3.00-3.01
Pr3 0.6002 0.6002 0.0000  6 Se 3.00-3.01
Pr4 0.8009 0.8009 0.0000  6 Se 3.00-3.03
Se1 0.0979 0.5979 0.5000  2 Pm 2.98, 4 Pr 3.00-3.03
Se2 0.2995 0.7995 0.5000  6 Pr 3.00-3.02
Se3 0.5000 0.0000 0.5000  2 Pm 3.00, 4 Pr 3.01
Se4 0.7005 0.2005 0.5000  6 Pr 3.00-3.02
Se5 0.9021 0.4021 0.5000  2 Pm 2.98, 4 Pr 3.00-3.03

Results
DOS at the Fermi energy (states/eV/atom): 0.52
Total DFT energy (no corrections) (eV/cell): -59.68
Calculated density (g/cm³): 6.7

---

[8]
Entry from the Alexandria database: an optimized crystal structure of Rb2NaHgTe (PBE).

Cell: 6.5371 6.5371 5.6781 Å, 90.00 90.00 90.00°
Closest atoms and distances in Å follow each position.
Element x y z (fractional)
Rb1 0.0000 0.5000 0.0000  2 Hg 3.27
Rb2 0.5000 0.0000 0.0000  2 Hg 3.27
Na1 0.0000 0.0000 0.5000  2 Hg 2.84
Hg1 0.0000 0.0000 0.0000  2 Na 2.84
Te1 0.5000 0.5000 0.5000  8 Rb 4.33, 4 Na 4.62

Results
DOS at the Fermi energy (states/eV/atom): 0.55
Total DFT energy (no corrections) (eV/cell): -7.94
Calculated density (g/cm³): 3.6

---

[9]
Entry from the Alexandria database: an optimized crystal structure of Ca2AlHPd6 (PBE).

Cell: 5.7986 5.7986 6.7664 Å, 115.94 115.94 59.92°
Closest atoms and distances in Å follow each position.
Element x y z (fractional)
Ca1 0.2250 0.2250 0.1784  9 Pd 2.99-3.34
Ca2 0.7750 0.7750 0.8216  9 Pd 2.99-3.34
Al1 0.5000 0.5000 0.0000  6 Pd 2.45-2.46
H1 0.0000 0.0000 0.5000  6 Pd 2.00-2.02
Pd1 0.2308 0.2308 0.6886  1 H 2.00
Pd2 0.2327 0.7285 0.6907  1 H 2.02
Pd3 0.2715 0.7673 0.3093  1 H 2.02
Pd4 0.7285 0.2327 0.6907  1 H 2.02
Pd5 0.7673 0.2715 0.3093  1 H 2.02
Pd6 0.7692 0.7692 0.3114  1 H 2.00

Results
DOS at the Fermi energy (states/eV/atom): 0.30
Total DFT energy (no corrections) (eV/cell): -48.62
Calculated density (g/cm³): 7.3

---

[10]
Entry from the Alexandria database: an optimized crystal structure of AgAs2SeI (PBE).

Cell: 5.1642 5.1642 5.0096 Å, 90.00 90.00 90.00°
Closest atoms and distances in Å follow each position.
Element x y z (fractional)
Ag1 0.0000 0.0000 0.0000  2 Se 2.50, 4 As 2.58
As1 0.0000 0.5000 0.0000  2 Ag 2.58
As2 0.5000 0.0000 0.0000  2 Ag 2.58
Se1 0.0000 0.0000 0.5000  2 Ag 2.50
I1 0.5000 0.5000 0.5000  8 As 3.60, 4 Se 3.65

Results
DOS at the Fermi energy (states/eV/atom): 1.23
Total DFT energy (no corrections) (eV/cell): -13.16
Calculated density (g/cm³): 5.8

---

[11]
Entry from the Alexandria database: an optimized crystal structure of MnFe2IrC (PBE).

Cell: 3.7898 3.7898 3.8411 Å, 90.00 90.00 90.00°
Closest atoms and distances in Å follow each position.
Element x y z (fractional)
Mn1 0.0000 0.0000 0.0000  2 C 1.92
Fe1 0.0000 0.5000 0.5000  2 C 1.89
Fe2 0.5000 0.0000 0.5000  2 C 1.89
Ir1 0.5000 0.5000 0.0000  4 Mn 2.68, 8 Fe 2.70
C1 0.0000 0.0000 0.5000  4 Fe 1.89, 2 Mn 1.92

Results
DOS at the Fermi energy (states/eV/atom): 1.23
Formation energy from the elements (kJ/mol of atoms): 13.1
Total DFT energy (no corrections) (eV/cell): -43.50
Calculated density (g/cm³): 11.2

---

[12]
Entry from the Alexandria database: an optimized crystal structure of Y3Zr (PBE).

Cell: 6.2340 6.2340 6.2340 Å, 90.00 90.00 90.00°
Closest atoms and distances in Å follow each position.
Element x y z (fractional)
Y1 0.0000 0.2500 0.5000  2 Y 3.12, 4 Zr 3.48
Y2 0.0000 0.7500 0.5000  2 Y 3.12, 4 Zr 3.48
Y3 0.2500 0.5000 0.0000  2 Y 3.12, 4 Zr 3.48
Y4 0.5000 0.0000 0.2500  2 Y 3.12, 4 Zr 3.48
Y5 0.5000 0.0000 0.7500  2 Y 3.12, 4 Zr 3.48
Y6 0.7500 0.5000 0.0000  2 Y 3.12, 4 Zr 3.48
Zr1 0.0000 0.0000 0.0000  12 Y 3.48
Zr2 0.5000 0.5000 0.5000  12 Y 3.48

Results
DOS at the Fermi energy (states/eV/atom): 2.40
Formation energy from the elements (kJ/mol of atoms): 31.2
Total DFT energy (no corrections) (eV/cell): -53.29
Calculated density (g/cm³): 4.9

---

[13]
Entry from the Alexandria database: an optimized crystal structure of MgMo2Se (PBE).

Cell: 4.9497 4.9497 4.7775 Å, 110.48 110.48 38.62°
Closest atoms and distances in Å follow each position.
Element x y z (fractional)
Mg1 0.0000 0.0000 0.0000  7 Mo 2.80-2.90, 3 Se 2.83-2.93
Mo1 0.4899 0.4899 0.4938  2 Mo 2.56, 2 Se 2.71
Mo2 0.7693 0.7693 0.2419  2 Mo 2.56, 3 Mg 2.80-2.86, 2 Se 2.84
Se1 0.2367 0.2367 0.7351  7 Mo 2.71-2.99, 3 Mg 2.83-2.93

Results
DOS at the Fermi energy (states/eV/atom): 0.46
Total DFT energy (no corrections) (eV/cell): -25.69
Calculated density (g/cm³): 7.2

---

[14]
Entry from the Alexandria database: an optimized crystal structure of Tl2CoW (PBE).

Cell: 6.2012 6.2012 4.7854 Å, 112.65 112.65 27.98°
Closest atoms and distances in Å follow each position.
Element x y z (fractional)
Tl1 0.0000 0.0000 0.0000  4 Co 2.89, 2 Tl 3.00
Tl2 0.2122 0.2122 0.7140  4 W 2.91, 2 Tl 3.00
Co1 0.4446 0.4446 0.4442  2 W 2.39
W1 0.7765 0.7765 0.2782  2 Co 2.39

Results
DOS at the Fermi energy (states/eV/atom): 0.82
Formation energy from the elements (kJ/mol of atoms): 78.2
Total DFT energy (no corrections) (eV/cell): -21.55
Calculated density (g/cm³): 13.7

---

[15]
Entry from the Alexandria database: an optimized crystal structure of ScTcAg2 (PBE).

Cell: 5.5715 5.5715 2.7984 Å, 99.12 99.12 121.75°
Closest atoms and distances in Å follow each position.
Element x y z (fractional)
Sc1 0.0000 0.0000 0.0000  2 Tc 2.71, 2 Sc 2.80, 4 Ag 2.91
Tc1 0.5000 0.5000 0.0000  2 Sc 2.71, 2 Tc 2.80, 4 Ag 2.91
Ag1 0.0000 0.5000 0.5000  4 Ag 2.71-2.80, 2 Tc 2.91, 2 Sc 2.91
Ag2 0.5000 0.0000 0.5000  4 Ag 2.71-2.80, 2 Tc 2.91, 2 Sc 2.91

Results
DOS at the Fermi energy (states/eV/atom): 0.65
Formation energy from the elements (kJ/mol of atoms): 17.7
Total DFT energy (no corrections) (eV/cell): -21.67
Calculated density (g/cm³): 8.5

---

[16]
Entry from the Alexandria database: an optimized crystal structure of Sr2GaSiAu6 (PBE).

Cell: 6.8040 6.8040 7.0740 Å, 118.85 118.85 59.97°
Closest atoms and distances in Å follow each position.
Element x y z (fractional)
Sr1 0.2188 0.2188 0.1556  12 Au 3.50-3.59, 1 Si 3.85
Sr2 0.7812 0.7812 0.8444  12 Au 3.50-3.59, 1 Si 3.85
Ga1 0.5000 0.5000 0.0000  6 Au 2.56
Si1 0.0000 0.0000 0.5000  6 Au 2.44-2.45
Au1 0.2457 0.6831 0.6765  1 Si 2.45, 1 Ga 2.56
Au2 0.2467 0.2467 0.6751  1 Si 2.44, 1 Ga 2.56
Au3 0.3169 0.7543 0.3235  1 Si 2.45, 1 Ga 2.56
Au4 0.6831 0.2457 0.6765  1 Si 2.45, 1 Ga 2.56
Au5 0.7533 0.7533 0.3249  1 Si 2.44, 1 Ga 2.56
Au6 0.7543 0.3169 0.3235  1 Si 2.45, 1 Ga 2.56

Results
DOS at the Fermi energy (states/eV/atom): 0.38
Total DFT energy (no corrections) (eV/cell): -36.46
Calculated density (g/cm³): 10.3

---

[17]
Entry from the Alexandria database: an optimized crystal structure of TiV2Ir9 (PBE).

Cell: 3.8494 3.8494 11.5632 Å, 90.00 90.00 90.00°
Closest atoms and distances in Å follow each position.
Element x y z (fractional)
Ti1 0.0000 0.0000 0.0000  12 Ir 2.72-2.76
V1 0.0000 0.0000 0.3322  12 Ir 2.68-2.73
V2 0.0000 0.0000 0.6678  12 Ir 2.68-2.73
Ir1 0.0000 0.5000 0.1711  2 V 2.68, 8 Ir 2.70-2.76, 2 Ti 2.76
Ir2 0.0000 0.5000 0.5000  8 Ir 2.71-2.72, 4 V 2.73
Ir3 0.0000 0.5000 0.8289  2 V 2.68, 8 Ir 2.70-2.76, 2 Ti 2.76
Ir4 0.5000 0.0000 0.1711  2 V 2.68, 8 Ir 2.70-2.76, 2 Ti 2.76
Ir5 0.5000 0.0000 0.5000  8 Ir 2.71-2.72, 4 V 2.73
Ir6 0.5000 0.0000 0.8289  2 V 2.68, 8 Ir 2.70-2.76, 2 Ti 2.76
Ir7 0.5000 0.5000 0.0000  4 Ti 2.72, 8 Ir 2.76
Ir8 0.5000 0.5000 0.3348  8 Ir 2.70-2.71, 4 V 2.72
Ir9 0.5000 0.5000 0.6652  8 Ir 2.70-2.71, 4 V 2.72

Results
DOS at the Fermi energy (states/eV/atom): 0.53
Formation energy from the elements (kJ/mol of atoms): -54.9
Total DFT energy (no corrections) (eV/cell): -112.71
Calculated density (g/cm³): 18.2